Here is a relaxed CaNiW2 crystal from Alexandria via LeMat-Bulk. Energies are from PBEsol.

The structure in extended XYZ format:
```
4
Lattice="2.804 0.000 0.000 0.000 3.238 0.000 -0.576 0.000 7.652" Properties=species:S:1:pos:R:3 pbc="T T T"
Ca 0.000 0.000 0.000
Ni 1.398 1.619 2.070
W 0.036 0.000 3.459
W 0.999 1.619 5.162
```

Output
Formation enthalpy at 0 K (eV/atom): 0.47
Space group: Pm
DOS at the Fermi energy (states/eV/atom): 0.859
E above lowest polymorph (meV/atom): 0.0

---

Here is a relaxed CuTeRh2 crystal from Alexandria via LeMat-Bulk. Energies are from PBEsol.

The structure in extended XYZ format:
```
4
Lattice="-2.043 2.043 3.518 2.043 -2.043 3.518 2.043 2.043 -3.518" Properties=species:S:1:pos:R:3 pbc="T T T"
Cu 0.000 0.000 0.000
Te 0.000 0.000 3.518
Rh 2.043 0.000 1.759
Rh 0.000 2.043 1.759
```

Output
Space group: I4/mmm
DOS at the Fermi energy (states/eV/atom): 0.420
Total DFT energy (no corrections) (eV per atom): -6.131

---

Here is a relaxed SeBr crystal from Alexandria via LeMat-Bulk. Energies are from PBEsol.

The structure in extended XYZ format:
```
8
Lattice="16.193 0.000 0.000 0.000 3.219 2.052 0.000 -3.219 2.052" Properties=species:S:1:pos:R:3 pbc="T T T"
Se 0.780 -2.287 2.052
Se 7.316 0.931 2.052
Se 8.877 -0.931 2.052
Se 15.412 2.287 2.052
Br 2.660 0.069 2.739
Br 5.437 0.069 0.686
Br 10.756 -0.069 0.686
Br 13.533 -0.069 2.739
```

Output
Space group: Aea2
Total DFT energy (no corrections) (eV per atom): -2.919

---

Here is a relaxed GaSb3H crystal from Alexandria via LeMat-Bulk. Energies are from PBEsol.

The structure in extended XYZ format:
```
5
Lattice="5.253 0.000 0.000 0.000 5.253 0.000 0.000 0.000 5.253" Properties=species:S:1:pos:R:3 pbc="T T T"
Ga 0.000 0.000 0.000
Sb 0.000 0.000 2.626
Sb 0.000 2.626 0.000
Sb 2.626 0.000 0.000
H 2.626 2.626 2.626
```

Output
Space group: Pm-3m
DOS at the Fermi energy (states/eV/atom): 0.622
Total DFT energy (no corrections) (eV per atom): -3.008

---

Here is a relaxed Mg2AlZn crystal from Alexandria via LeMat-Bulk. Energies are from PBEsol.

The structure in extended XYZ format:
```
4
Lattice="1.532 0.885 9.150 -1.532 0.885 9.150 0.000 -1.769 9.150" Properties=species:S:1:pos:R:3 pbc="T T T"
Mg 0.000 0.000 6.785
Mg 0.000 0.000 20.665
Al 0.000 0.000 0.000
Zn 0.000 0.000 13.725
```

Output
Formation enthalpy at 0 K (eV/atom): 0.03
Space group: R-3m
DOS at the Fermi energy (states/eV/atom): 0.414

---

Here is a relaxed LaIrCl2 crystal from Alexandria via LeMat-Bulk. Energies are from PBEsol.

The structure in extended XYZ format:
```
4
Lattice="3.727 0.000 0.000 0.000 3.727 0.000 0.000 0.000 6.025" Properties=species:S:1:pos:R:3 pbc="T T T"
La 0.000 0.000 0.000
Ir 0.000 0.000 3.013
Cl 1.864 1.864 1.439
Cl 1.864 1.864 4.587
```

Output
Space group: P4/mmm
DOS at the Fermi energy (states/eV/atom): 1.183
E above lowest polymorph (meV/atom): 554.2

---

Here is a relaxed LiTl2 crystal from Alexandria via LeMat-Bulk. Energies are from PBEsol.

The structure in extended XYZ format:
```
3
Lattice="3.413 0.000 0.000 -1.707 2.956 0.000 0.000 0.000 7.067" Properties=species:S:1:pos:R:3 pbc="T T T"
Li 0.000 0.000 0.000
Tl 0.000 1.971 2.219
Tl 1.707 0.985 4.848
```

Output
Formation enthalpy at 0 K (eV/atom): -0.13
Space group: P-3m1
DOS at the Fermi energy (states/eV/atom): 0.277
E above lowest polymorph (meV/atom): 34.3

---

Here is a relaxed P2IrSO crystal from Alexandria via LeMat-Bulk. Energies are from PBEsol.

The structure in extended XYZ format:
```
5
Lattice="4.468 0.000 0.000 0.000 4.468 0.000 0.000 0.000 3.172" Properties=species:S:1:pos:R:3 pbc="T T T"
P 0.000 2.234 0.000
P 2.234 0.000 0.000
Ir 0.000 0.000 1.586
S 2.234 2.234 0.000
O 2.234 2.234 1.586
```

Output
Space group: P4/mmm
DOS at the Fermi energy (states/eV/atom): 0.507
E above lowest polymorph (meV/atom): 71.8

---

> Which formula does entry 4 have?

GaSb3H